[1]
Material: LaCrBiW2
Method: DFT, PBEsol
State: relaxed

Results
Symmetry: P4/mmm, No. 123
Energy of formation from the pure elements (eV/atom): 1.03
DOS(E_F) (states/eV/cell): 4.19

a = 4.573 Å, b = 4.573 Å, c = 5.263 Å
α = 90.00°, β = 90.00°, γ = 90.00°
Fractional positions:
1 Cr 0.000 0.000 0.000
2 Bi 0.500 0.500 0.500
3 W 0.000 0.500 0.000
4 W 0.500 0.000 0.000
5 La 0.000 0.000 0.500

---

[2]
Material: Li2CrBi2
Method: DFT, PBEsol
State: relaxed

Results
Symmetry: I4/mmm, No. 139
Energy of formation from the pure elements (eV/atom): 0.28
DOS(E_F) (states/eV/cell): 2.46

a = 5.238 Å, b = 5.414 Å, c = 5.238 Å
α = 118.93°, β = 90.00°, γ = 118.93°
Last column: magnetic moment on the atom in μB.
Fractional positions:
1 Cr 0.000 0.000 0.000  3.75
2 Bi 0.250 0.500 0.750  -0.18
3 Bi 0.750 0.500 0.250  -0.18
4 Li 0.349 0.698 0.349  -0.01
5 Li 0.651 0.302 0.651  -0.01

---

[3]
Material: Li2Cr3BiO8
Method: DFT, PBEsol
State: relaxed

Results
Calculated total energy (eV/atom): -7.596
Symmetry: R-3m, No. 166
DOS(E_F) (states/eV/cell): 8.24

a = 5.840 Å, b = 5.840 Å, c = 6.461 Å
α = 63.13°, β = 63.13°, γ = 60.00°
Last column: magnetic moment on the atom in μB.
Fractional positions:
1 Li 0.908 0.908 0.275  0.00
2 Li 0.092 0.092 0.725  0.00
3 Cr 0.500 0.000 0.000  2.35
4 Cr 0.000 0.500 0.000  2.35
5 Cr 0.500 0.500 0.000  2.35
6 Bi 0.500 0.500 0.500  0.01
7 O 0.275 0.275 0.175  -0.05
8 O 0.725 0.725 0.825  -0.05
9 O 0.292 0.757 0.194  -0.04
10 O 0.757 0.292 0.194  -0.04
11 O 0.757 0.757 0.194  -0.04
12 O 0.243 0.243 0.806  -0.04
13 O 0.243 0.708 0.806  -0.04
14 O 0.708 0.243 0.806  -0.04

---

[4]
Material: Li4Cr5BiO12
Method: DFT, PBEsol
State: relaxed

Results
Calculated total energy (eV/atom): -7.591
Symmetry: C2/m, No. 12
DOS(E_F) (states/eV/cell): 8.74

a = 5.171 Å, b = 5.163 Å, c = 9.915 Å
α = 85.04°, β = 80.05°, γ = 59.95°
Last column: magnetic moment on the atom in μB.
Fractional positions:
1 Li 0.580 0.665 0.765  0.00
2 Li 0.755 0.665 0.235  0.00
3 Li 0.245 0.335 0.765  0.00
4 Li 0.420 0.335 0.235  0.00
5 Cr 0.836 0.328 0.000  2.63
6 Cr 0.333 0.333 0.500  2.41
7 Cr 0.667 0.667 0.500  2.41
8 Cr 0.164 0.672 0.000  2.63
9 Cr 0.500 0.000 0.000  2.63
10 Bi 0.000 0.000 0.500  -0.03
11 O 0.649 0.388 0.386  -0.03
12 O 0.963 0.388 0.614  -0.03
13 O 0.476 0.658 0.100  -0.02
14 O 0.133 0.342 0.100  -0.02
15 O 0.867 0.658 0.900  -0.02
16 O 0.209 0.000 0.898  0.00
17 O 0.524 0.342 0.900  -0.02
18 O 0.037 0.612 0.386  -0.03
19 O 0.426 0.000 0.387  -0.03
20 O 0.351 0.612 0.614  -0.03
21 O 0.574 0.000 0.613  -0.03
22 O 0.791 0.000 0.102  0.00

---

[5]
Material: Li4CrBiTe2O12
Method: DFT, PBEsol
State: relaxed

Results
Calculated total energy (eV/atom): -6.107
Symmetry: P1, No. 1

a = 5.034 Å, b = 5.382 Å, c = 8.058 Å
α = 94.91°, β = 90.98°, γ = 90.20°
Last column: magnetic moment on the atom in μB.
Fractional positions:
1 Li 0.455 0.106 0.722  0.00
2 Li 0.522 0.071 0.201  0.00
3 Li 0.013 0.589 0.180  0.00
4 Li 0.015 0.559 0.739  0.00
5 Cr 0.989 0.009 0.982  1.01
6 Bi 0.502 0.517 0.487  0.00
7 Te 0.019 0.992 0.462  0.00
8 Te 0.506 0.505 0.000  0.02
9 O 0.301 0.179 0.947  0.00
10 O 0.663 0.106 0.452  0.00
11 O 0.147 0.290 0.580  -0.01
12 O 0.806 0.288 0.075  0.04
13 O 0.628 0.469 0.777  0.00
14 O 0.377 0.483 0.220  0.01
15 O 0.184 0.691 0.954  0.01
16 O 0.895 0.659 0.408  0.00
17 O 0.251 0.833 0.612  -0.01
18 O 0.718 0.798 0.078  0.00
19 O 0.849 0.992 0.802  -0.11
20 O 0.158 0.007 0.251  0.00

---

[6]
Material: MgCr3Bi
Method: DFT, PBEsol
State: relaxed

Results
Symmetry: Pm-3m, No. 221
Energy of formation from the pure elements (eV/atom): 1.53
DOS(E_F) (states/eV/cell): 4.17

a = 5.189 Å, b = 5.189 Å, c = 5.189 Å
α = 90.00°, β = 90.00°, γ = 90.00°
Last column: magnetic moment on the atom in μB.
Fractional positions:
1 Cr 0.000 0.500 0.000  3.85
2 Cr 0.000 0.000 0.500  3.85
3 Cr 0.500 0.000 0.000  3.85
4 Mg 0.500 0.500 0.500  -0.05
5 Bi 0.000 0.000 0.000  -0.10

---

no.,V (Å³/atom)
1,22.01
2,21.67
3,11.63
4,10.26
5,10.87
6,27.94